## TbPm2Dy9 (PBE)

Data for a relaxed structure of TbPm2Dy9.

The space group is P6/mmm (No. 191) and the conventional cell measures 11.2623, 11.2623 and 3.4957 Å, with angles of 90.00, 90.00 and 120.00 degrees. The distinct sites, in fractional coordinates, are Tb at (0.0000, 0.0000, 0.0000), Pm at (0.3333, 0.6667, 0.0000), Dy at (0.0000, 0.5000, 0.0000) and Dy at (0.1742, 0.3484, 0.5000).

As for the density of states at the Fermi level: 1.523 states/eV/atom. For the calculated volume, the calculation gives 32.00 Å³/atom. Its polymorph energy (0 for the lowest one) is 0.041 eV per atom. The calculation puts the formation energy at 0.7 eV per formula unit.

## Mn3Fe7 (PBE)

Data for a relaxed structure of Mn3Fe7.

The space group is P6_3mc (No. 186) and the conventional cell measures 7.6566, 7.6566 and 4.6501 Å, with angles of 90.00, 90.00 and 120.00 degrees. The distinct sites, in fractional coordinates, are Mn at (0.2201, 0.4403, 0.0000), Fe at (0.0019, 0.5009, 0.2552), Fe at (0.1231, 0.2463, 0.5003) and Fe at (0.3333, 0.6667, 0.5013).

As for the density of states at the Fermi level: 1.514 states/eV/atom. For the calculated volume, the calculation gives 11.80 Å³/atom. The calculation puts the formation energy at 3.1 eV per formula unit.

## KBa2LiCu (PBE)

Data for a relaxed structure of KBa2LiCu.

The space group is P4/mmm (No. 123) and the conventional cell measures 6.3048, 6.3048 and 6.3161 Å, with angles of 90.00, 90.00 and 90.00 degrees. The distinct sites, in fractional coordinates, are K at (0.0000, 0.0000, 0.0000), Ba at (0.0000, 0.5000, 0.5000), Li at (0.5000, 0.5000, 0.0000) and Cu at (0.0000, 0.0000, 0.5000).

As for the density of states at the Fermi level: 0.629 states/eV/atom. For the calculated volume, the calculation gives 50.21 Å³/atom. Its polymorph energy (0 for the lowest one) is 0.057 eV per atom. The calculation puts the formation energy at 0.8 eV per formula unit.

## Sc2GaSe (PBE)

Data for a relaxed structure of Sc2GaSe.

The space group is R-3m (No. 166, hexagonal axes) and the conventional cell measures 3.9549, 3.9549 and 24.3193 Å, with angles of 90.00, 90.00 and 120.00 degrees. The distinct sites, in fractional coordinates, are Sc at (0.0000, 0.0000, 0.1014), Ga at (0.0000, 0.0000, 0.5000) and Se at (0.0000, 0.0000, 0.0000).

As for the density of states at the Fermi level: 0.576 states/eV/atom. For the calculated volume, the calculation gives 27.45 Å³/atom. The uncorrected formation energy is -1.76 eV per formula unit. Its polymorph energy (0 for the lowest one) is 0.711 eV per atom.

## ZnNi2 (PBE)

Data for a relaxed structure of ZnNi2.

The space group is Imma (No. 74) and the conventional cell measures 2.5081, 3.8727 and 15.8490 Å, with angles of 90.00, 90.00 and 90.00 degrees. The distinct sites, in fractional coordinates, are Zn at (0.0000, 0.2500, 0.1153), Ni at (0.0000, 0.2500, 0.5396) and Ni at (0.0000, 0.2500, 0.6875).

As for the density of states at the Fermi level: 1.096 states/eV/atom. For the calculated volume, the calculation gives 12.83 Å³/atom. The calculation puts the formation energy at 0.2 eV per formula unit.

## Ho4TlC (PBE)

Data for a relaxed structure of Ho4TlC.

The space group is C2/c (No. 15) and the conventional cell measures 15.1038, 6.0707 and 6.8655 Å, with angles of 90.00, 106.33 and 90.00 degrees. The distinct sites, in fractional coordinates, are Ho at (0.1020, 0.0857, 0.4444), Ho at (0.1922, 0.4319, 0.1633), Tl at (0.0000, 0.4042, 0.7500) and C at (0.2500, 0.2500, 0.5000).

As for the density of states at the Fermi level: 1.084 states/eV/atom. For the calculated volume, the calculation gives 25.17 Å³/atom. The calculation puts the formation energy at -1.3 eV per formula unit.

| no. | uncorrected energy (eV per atom) |
| --- | --- |
| 1 | -4.568 |
| 2 | -8.366 |
| 3 | -2.022 |
| 4 | -5.235 |
| 5 | -4.215 |
| 6 | -5.196 |